[1]
A geometry-optimized PtPb3 structure. Source: Alexandria, functional PBE.

a b c (Å): 7.135 7.135 4.485
angles (deg): 90.00 90.00 104.01
Positions (direct):
Pt 0.083 0.917 0.750
Pt 0.917 0.083 0.250
Pb 0.070 0.331 0.750
Pb 0.331 0.070 0.250
Pb 0.396 0.604 0.250
Pb 0.604 0.396 0.750
Pb 0.669 0.930 0.750
Pb 0.930 0.669 0.250

Values from the calculation:
N(E_F) = 4.39 states/eV per cell
Energy above the lowest structure with this stoichiometry = 2.84 kcal/mol of atoms
ΔE_f = -0.0172 eV/atom
Crystal system = orthorhombic
Total magnetization = 0.0000 μB per atom


[2]
A geometry-optimized PtPb structure. Source: Alexandria, functional PBE.

a b c (Å): 5.335 5.335 7.664
angles (deg): 95.71 95.71 40.76
Positions (direct):
Pt 0.000 0.000 0.000
Pt 0.101 0.101 0.670
Pt 0.703 0.703 0.937
Pb 0.325 0.325 0.173
Pb 0.385 0.385 0.734
Pb 0.610 0.610 0.398

Values from the calculation:
N(E_F) = 2.91 states/eV per cell
ΔE_f = -0.0526 eV/atom
Crystal system = monoclinic
Total magnetization = 0.0000 μB per atom


Which of these has the lowest N(E_F)?
PtPb


What is the total magnetization in the second record?
0.0000 μB per atom


Repeat the second record exactly.
A geometry-optimized PtPb structure. Source: Alexandria, functional PBE.

a b c (Å): 5.335 5.335 7.664
angles (deg): 95.71 95.71 40.76
Positions (direct):
Pt 0.000 0.000 0.000
Pt 0.101 0.101 0.670
Pt 0.703 0.703 0.937
Pb 0.325 0.325 0.173
Pb 0.385 0.385 0.734
Pb 0.610 0.610 0.398

Values from the calculation:
N(E_F) = 2.91 states/eV per cell
ΔE_f = -0.0526 eV/atom
Crystal system = monoclinic
Total magnetization = 0.0000 μB per atom


N(E_F) of number 1 (PtPb3)?
4.39 states/eV per cell